Entry 1:
First-principles (PBE) data for CsPm2AgCl8 after structural relaxation, as listed in the Alexandria database.

Output
size of the total moment: 0.0 μB/cell
uncorrected energy: -4.22 eV/atom
crystal system: triclinic

Cell lengths 6.9755, 7.2936, 8.5507 Å; angles 93.47, 93.42, 97.37 degrees
Last column: nearest neighbours and their distance in Å.
Space group P-1 (No. 2)
Asymmetric unit:
1 Cs 0.0000 0.0000 0.0000 [1 per cell]  4 Cl 3.32-3.37
2 Pm 0.4919 0.5219 0.2574 [2 per cell]  6 Cl 2.60-2.82
3 Ag 0.0000 0.0000 0.5000 [1 per cell]  2 Cl 2.41
4 Cl 0.1328 0.3702 0.2470 [2 per cell]  1 Pm 2.60
5 Cl 0.1739 0.2233 0.6947 [2 per cell]  1 Ag 2.41
6 Cl 0.3937 0.7129 0.5293 [2 per cell]  2 Pm 2.73-2.80
7 Cl 0.4164 0.7150 0.9889 [2 per cell]  2 Pm 2.80-2.82

***

Entry 2:
First-principles (PBE) data for CsPmAgCl5 after structural relaxation, as listed in the Alexandria database.

Output
size of the total moment: 0.0 μB/cell
uncorrected energy: -3.99 eV/atom
crystal system: monoclinic

Cell lengths 9.1776, 12.8248, 10.4528 Å; angles 90.00, 111.02, 90.00 degrees
Last column: nearest neighbours and their distance in Å.
Space group C2/c (No. 15)
Asymmetric unit:
1 Cs 0.0000 0.1593 0.2500 [4 per cell]  7 Cl 3.51-3.82
2 Pm 0.0000 0.5000 0.0000 [4 per cell]  6 Cl 2.72-2.75
3 Ag 0.0000 0.1871 0.7500 [4 per cell]  4 Cl 2.61-2.64
4 Cl 0.0000 0.4343 0.2500 [4 per cell]  2 Pm 2.75
5 Cl 0.0954 0.3032 0.5902 [8 per cell]  1 Ag 2.61, 1 Pm 2.73
6 Cl 0.1970 0.0607 0.9293 [8 per cell]  1 Ag 2.64, 1 Pm 2.72

***

Entry 3:
First-principles (PBE) data for Cs2PmAg2Cl6 after structural relaxation, as listed in the Alexandria database.

Output
size of the total moment: 2.1 μB/cell
uncorrected energy: -3.62 eV/atom
crystal system: monoclinic

Cell lengths 13.4383, 7.8376, 8.9538 Å; angles 90.00, 122.18, 90.00 degrees
Last column: nearest neighbours and their distance in Å.
Space group C2/m (No. 12)
Asymmetric unit:
1 Cs 0.2092 0.0000 0.1777 [4 per cell]  5 Cl 3.48-3.67
2 Pm 0.0000 0.0000 0.5000 [2 per cell]  6 Cl 2.73-2.74
3 Ag 0.0464 0.5000 0.1771 [4 per cell]  3 Cl 2.65-2.73, 1 Ag 2.72
4 Cl 0.0587 0.2362 0.7593 [8 per cell]  1 Ag 2.73, 1 Pm 2.74
5 Cl 0.2262 0.0000 0.5795 [4 per cell]  1 Ag 2.65, 1 Pm 2.73

***

Entry 4:
First-principles (PBE) data for Cs3PrAg2Cl9 after structural relaxation, as listed in the Alexandria database.

Output
size of the total moment: 0.1 μB/cell
uncorrected energy: -3.55 eV/atom
crystal system: trigonal

Cell lengths 7.6329, 7.6329, 9.4780 Å; angles 90.00, 90.00, 120.00 degrees
Last column: nearest neighbours and their distance in Å.
Space group P-3m1 (No. 164)
Asymmetric unit:
1 Cs 0.0000 0.0000 0.0000 [1 per cell]  12 Cl 3.82-3.85
2 Cs 0.3333 0.6667 0.6886 [2 per cell]  12 Cl 3.68-4.02
3 Pr 0.0000 0.0000 0.5000 [1 per cell]  6 Cl 2.75
4 Ag 0.3333 0.6667 0.1489 [2 per cell]  6 Cl 2.62-2.77
5 Cl 0.0000 0.5000 0.0000 [3 per cell]  2 Ag 2.62
6 Cl 0.1692 0.3384 0.3310 [6 per cell]  1 Pr 2.75, 1 Ag 2.77

***

Entry 5:
First-principles (PBE) data for CsPrAgCl5 after structural relaxation, as listed in the Alexandria database.

Output
size of the total moment: 0.0 μB/cell
uncorrected energy: -3.98 eV/atom
crystal system: monoclinic

Cell lengths 9.2558, 12.9228, 10.5455 Å; angles 90.00, 111.24, 90.00 degrees
Last column: nearest neighbours and their distance in Å.
Space group C2/c (No. 15)
Asymmetric unit:
1 Cs 0.0000 0.1579 0.2500 [4 per cell]  7 Cl 3.51-3.89
2 Pr 0.0000 0.5000 0.0000 [4 per cell]  6 Cl 2.76-2.79
3 Ag 0.0000 0.1864 0.7500 [4 per cell]  4 Cl 2.62-2.64
4 Cl 0.0000 0.4299 0.2500 [4 per cell]  2 Pr 2.79
5 Cl 0.0979 0.3025 0.5944 [8 per cell]  1 Ag 2.62, 1 Pr 2.77
6 Cl 0.1945 0.0609 0.9290 [8 per cell]  1 Ag 2.64, 1 Pr 2.76

***

Entry 6:
First-principles (PBE) data for Cs2PrAg2Cl6 after structural relaxation, as listed in the Alexandria database.

Output
size of the total moment: 2.1 μB/cell
uncorrected energy: -3.61 eV/atom
crystal system: monoclinic

Cell lengths 13.4161, 7.9057, 8.9977 Å; angles 90.00, 121.84, 90.00 degrees
Last column: nearest neighbours and their distance in Å.
Space group C2/m (No. 12)
Asymmetric unit:
1 Cs 0.2089 0.0000 0.1752 [4 per cell]  5 Cl 3.48-3.67
2 Pr 0.0000 0.0000 0.5000 [2 per cell]  6 Cl 2.77-2.78
3 Ag 0.0459 0.5000 0.1758 [4 per cell]  3 Cl 2.64-2.74, 1 Ag 2.72
4 Cl 0.0599 0.2367 0.7627 [8 per cell]  1 Ag 2.74, 1 Pr 2.78
5 Cl 0.2290 0.0000 0.5774 [4 per cell]  1 Ag 2.64, 1 Pr 2.77